Entry P
## YZnCl2 (PBE)

Data for a relaxed structure of YZnCl2.

Lattice parameters (Å, degrees): 5.287 5.287 6.656 103.42 103.42 39.41
Atoms (fractional coordinates):
Y  0.000  0.000  0.000
Zn  0.490  0.490  0.361
Cl  0.386  0.386  0.694
Cl  0.716  0.716  0.033

Properties
M_tot ... 0.868 μB per cell

Entry Q
## YZnCl2 (PBE)

Data for a relaxed structure of YZnCl2.

Lattice parameters (Å, degrees): 3.378 3.378 9.596 90.00 90.00 90.00
Atoms (fractional coordinates):
Y  0.000  0.000  0.000
Zn  0.000  0.000  0.500
Cl  0.500  0.500  0.165
Cl  0.500  0.500  0.835

Properties
M_tot ... 0.000 μB per cell

Least stable: entry Q

Entry P
## TbSmGaGe (PBE)

Data for a relaxed structure of TbSmGaGe.

Lattice parameters (Å, degrees): 4.047 5.906 5.906 43.55 90.00 90.00
Atoms (fractional coordinates):
Tb  0.000  0.000  0.000
Sm  0.500  0.720  0.720
Ga  0.000  0.284  0.284
Ge  0.500  0.439  0.439

Properties
M_tot ... 0.001 μB per cell

Entry Q
## TbSmGaGe (PBE)

Data for a relaxed structure of TbSmGaGe.

Lattice parameters (Å, degrees): 5.120 5.120 5.120 60.00 60.00 60.00
Atoms (fractional coordinates):
Tb  0.000  0.000  0.000
Sm  0.500  0.500  0.500
Ga  0.250  0.250  0.250
Ge  0.750  0.750  0.750

Properties
M_tot ... 0.000 μB per cell

Least stable: entry Q

Entry P
## Fe2AgMo (PBE)

Data for a relaxed structure of Fe2AgMo.

Lattice parameters (Å, degrees): 2.655 2.655 8.624 90.00 90.00 107.91
Atoms (fractional coordinates):
Fe  0.000  0.000  0.240
Fe  0.000  0.000  0.760
Ag  0.500  0.500  0.500
Mo  0.500  0.500  0.000

Properties
M_tot ... 4.727 μB per cell

Entry Q
## Fe2AgMo (PBE)

Data for a relaxed structure of Fe2AgMo.

Lattice parameters (Å, degrees): 4.559 4.559 4.559 129.25 129.25 74.60
Atoms (fractional coordinates):
Fe  0.250  0.750  0.500
Fe  0.750  0.250  0.500
Ag  0.000  0.000  0.000
Mo  0.500  0.500  0.000

Properties
M_tot ... 2.912 μB per cell

Least stable: entry Q